ZrIn3Co | GGA-PBE | relaxed

Values from the calculation:
- calculated total energy (eV for the cell shown) = -22.41
- ΔH_f (0 K) (eV/atom) = 0.292

abc: 4.822 4.822 4.822
angles: 90.00 90.00 90.00
Space group Pm-3m (No. 221)
Unique sites:
Zr  0.000  0.000  0.000
In  0.000  0.500  0.500
Co  0.500  0.500  0.500